A plane-wave DFT calculation with GGA-PBE was carried out for a relaxed Na3ScNb crystal.

Cell lengths 5.679, 5.679, 5.679 Å; angles 90.00, 90.00, 90.00 degrees
Site moments in Bohr magnetons follow the coordinates.
Fractional coordinates of all 5 atoms:
Sc: 0.500 0.500 0.500  -0.60
Na: 0.000 0.500 0.000  0.04
Na: 0.000 0.000 0.500  0.02
Na: 0.500 0.000 0.000  0.06
Nb: 0.000 0.000 0.000  3.21

Calculated values
Excess energy over the best structure of this formula in the dataset in eV/atom: 0.000
VASP energy in eV for the cell shown: -12.9
D(E_F) in states/eV per cell: 5.09
ΔH_f (0 K) in meV per atom: 1497
Size of the total moment in μB/f.u.: 3.74